<P>
Below is an optimized crystal structure of Zn3CrSe, with properties calculated at the PBE-GGA level.

```
data_Zn3CrSe
_chemical_formula_sum 'Zn3 Cr1 Se1'
_cell_length_a 4.9355
_cell_length_b 4.9355
_cell_length_c 4.9355
_cell_angle_alpha 90.00
_cell_angle_beta 90.00
_cell_angle_gamma 90.00
_space_group_name_H-M_alt 'P m -3 m'
_space_group_IT_number 221
_space_group_name_Hall '-P 4 2 3'
loop_
_atom_site_label
_atom_site_type_symbol
_atom_site_fract_x
_atom_site_fract_y
_atom_site_fract_z
Zn1 Zn 0.0000 0.0000 0.5000
Cr1 Cr 0.5000 0.5000 0.5000
Se1 Se 0.0000 0.0000 0.0000
```

## Properties
Magnetic moment: 0.99 μB per atom
Crystal system: cubic

<Q>
Below is an optimized crystal structure of Zn3CrSe, with properties calculated at the PBE-GGA level.

```
data_Zn3CrSe
_chemical_formula_sum 'Zn3 Cr1 Se1'
_cell_length_a 4.9156
_cell_length_b 4.9156
_cell_length_c 4.9156
_cell_angle_alpha 90.00
_cell_angle_beta 90.00
_cell_angle_gamma 90.00
_space_group_name_H-M_alt 'P m -3 m'
_space_group_IT_number 221
_space_group_name_Hall '-P 4 2 3'
loop_
_atom_site_label
_atom_site_type_symbol
_atom_site_fract_x
_atom_site_fract_y
_atom_site_fract_z
Zn1 Zn 0.0000 0.0000 0.5000
Cr1 Cr 0.0000 0.0000 0.0000
Se1 Se 0.5000 0.5000 0.5000
```

## Properties
Magnetic moment: 0.81 μB per atom
Crystal system: cubic

Which of them is the most stable, and which is the least stable? <Q> and <P>, in that order.

<P>
Below is an optimized crystal structure of ZrCrSe, with properties calculated at the PBE-GGA level.

```
data_ZrCrSe
_chemical_formula_sum 'Zr2 Cr2 Se2'
_cell_length_a 3.1498
_cell_length_b 3.1498
_cell_length_c 10.1522
_cell_angle_alpha 90.00
_cell_angle_beta 90.00
_cell_angle_gamma 90.00
_space_group_name_H-M_alt 'I 4 m m'
_space_group_IT_number 107
_space_group_name_Hall 'I 4 -2'
loop_
_atom_site_label
_atom_site_type_symbol
_atom_site_fract_x
_atom_site_fract_y
_atom_site_fract_z
Zr1 Zr 0.0000 0.0000 0.0000
Cr1 Cr 0.0000 0.0000 0.6781
Se1 Se 0.0000 0.0000 0.2899
```

## Properties
Magnetic moment: 0.00 μB per atom
Crystal system: tetragonal

<Q>
Below is an optimized crystal structure of ZrCrSe, with properties calculated at the PBE-GGA level.

```
data_ZrCrSe
_chemical_formula_sum 'Zr1 Cr1 Se1'
_cell_length_a 4.2112
_cell_length_b 4.2112
_cell_length_c 3.3595
_cell_angle_alpha 90.00
_cell_angle_beta 90.00
_cell_angle_gamma 120.00
_space_group_name_H-M_alt 'P -6 m 2'
_space_group_IT_number 187
_space_group_name_Hall 'P -6 2'
loop_
_atom_site_label
_atom_site_type_symbol
_atom_site_fract_x
_atom_site_fract_y
_atom_site_fract_z
Zr1 Zr 0.0000 0.0000 0.0000
Cr1 Cr 0.6667 0.3333 0.5000
Se1 Se 0.3333 0.6667 0.5000
```

## Properties
Magnetic moment: 0.64 μB per atom
Crystal system: hexagonal

<R>
Below is an optimized crystal structure of ZrCrSe, with properties calculated at the PBE-GGA level.

```
data_ZrCrSe
_chemical_formula_sum 'Zr1 Cr1 Se1'
_cell_length_a 3.4697
_cell_length_b 3.4697
_cell_length_c 5.6722
_cell_angle_alpha 90.00
_cell_angle_beta 90.00
_cell_angle_gamma 120.00
_space_group_name_H-M_alt 'P 3 m 1'
_space_group_IT_number 156
loop_
_space_group_symop_operation_xyz
'x,y,z'
'-y,x-y,z'
'-x+y,-x,z'
'-y,-x,z'
'-x+y,y,z'
'x,x-y,z'
loop_
_atom_site_label
_atom_site_type_symbol
_atom_site_fract_x
_atom_site_fract_y
_atom_site_fract_z
Zr1 Zr 0.0000 0.0000 0.0000
Cr1 Cr 0.6667 0.3333 0.3717
Se1 Se 0.3333 0.6667 0.6718
```

## Properties
Magnetic moment: 0.80 μB per atom
Crystal system: trigonal

<S>
Below is an optimized crystal structure of ZrCrSe, with properties calculated at the PBE-GGA level.

```
data_ZrCrSe
_chemical_formula_sum 'Zr4 Cr4 Se4'
_cell_length_a 6.4379
_cell_length_b 6.4379
_cell_length_c 6.4379
_cell_angle_alpha 90.00
_cell_angle_beta 90.00
_cell_angle_gamma 90.00
_space_group_name_H-M_alt 'F -4 3 m'
_space_group_IT_number 216
_space_group_name_Hall 'F -4 2 3'
loop_
_atom_site_label
_atom_site_type_symbol
_atom_site_fract_x
_atom_site_fract_y
_atom_site_fract_z
Zr1 Zr 0.0000 0.0000 0.0000
Cr1 Cr 0.2500 0.2500 0.7500
Se1 Se 0.2500 0.2500 0.2500
```

## Properties
Magnetic moment: 1.23 μB per atom
Crystal system: cubic

Which of them is the most stable, and which is the least stable? <Q> and <S>, in that order.

<P>
Below is an optimized crystal structure of ZrCr3Se, with properties calculated at the PBE-GGA level.

```
data_ZrCr3Se
_chemical_formula_sum 'Zr1 Cr3 Se1'
_cell_length_a 4.8470
_cell_length_b 4.8470
_cell_length_c 4.8470
_cell_angle_alpha 90.00
_cell_angle_beta 90.00
_cell_angle_gamma 90.00
_space_group_name_H-M_alt 'P m -3 m'
_space_group_IT_number 221
_space_group_name_Hall '-P 4 2 3'
loop_
_atom_site_label
_atom_site_type_symbol
_atom_site_fract_x
_atom_site_fract_y
_atom_site_fract_z
Zr1 Zr 0.0000 0.0000 0.0000
Cr1 Cr 0.0000 0.0000 0.5000
Se1 Se 0.5000 0.5000 0.5000
```

## Properties
Magnetic moment: 2.00 μB per atom
Crystal system: cubic

<Q>
Below is an optimized crystal structure of ZrCr3Se, with properties calculated at the PBE-GGA level.

```
data_ZrCr3Se
_chemical_formula_sum 'Zr1 Cr3 Se1'
_cell_length_a 4.4501
_cell_length_b 4.4501
_cell_length_c 4.4501
_cell_angle_alpha 90.00
_cell_angle_beta 90.00
_cell_angle_gamma 90.00
_space_group_name_H-M_alt 'P m -3 m'
_space_group_IT_number 221
_space_group_name_Hall '-P 4 2 3'
loop_
_atom_site_label
_atom_site_type_symbol
_atom_site_fract_x
_atom_site_fract_y
_atom_site_fract_z
Zr1 Zr 0.0000 0.0000 0.0000
Cr1 Cr 0.0000 0.5000 0.5000
Se1 Se 0.5000 0.5000 0.5000
```

## Properties
Magnetic moment: 1.03 μB per atom
Crystal system: cubic

Which of them is the most stable, and which is the least stable? <Q> and <P>, in that order.

<P>
Below is an optimized crystal structure of ZrCrSe3, with properties calculated at the PBE-GGA level.

```
data_ZrCrSe3
_chemical_formula_sum 'Zr4 Cr4 Se12'
_cell_length_a 6.5741
_cell_length_b 11.5596
_cell_length_c 6.5284
_cell_angle_alpha 90.00
_cell_angle_beta 112.00
_cell_angle_gamma 90.00
_space_group_name_H-M_alt 'C 1 2/m 1'
_space_group_IT_number 12
loop_
_space_group_symop_operation_xyz
'x,y,z'
'-x,-y,-z'
'-x,y,-z'
'x,-y,z'
'x+1/2,y+1/2,z'
'-x+1/2,-y+1/2,-z'
'-x+1/2,y+1/2,-z'
'x+1/2,-y+1/2,z'
loop_
_atom_site_label
_atom_site_type_symbol
_atom_site_fract_x
_atom_site_fract_y
_atom_site_fract_z
Zr1 Zr 0.0000 0.1604 0.0000
Cr1 Cr 0.0000 0.3356 0.5000
Se1 Se 0.2229 0.5000 0.7463
Se2 Se 0.2399 0.1744 0.7366
```

## Properties
Magnetic moment: 0.67 μB per atom
Crystal system: monoclinic

<Q>
Below is an optimized crystal structure of ZrCrSe3, with properties calculated at the PBE-GGA level.

```
data_ZrCrSe3
_chemical_formula_sum 'Zr1 Cr1 Se3'
_cell_length_a 4.7957
_cell_length_b 4.7957
_cell_length_c 4.7957
_cell_angle_alpha 90.00
_cell_angle_beta 90.00
_cell_angle_gamma 90.00
_space_group_name_H-M_alt 'P m -3 m'
_space_group_IT_number 221
_space_group_name_Hall '-P 4 2 3'
loop_
_atom_site_label
_atom_site_type_symbol
_atom_site_fract_x
_atom_site_fract_y
_atom_site_fract_z
Zr1 Zr 0.0000 0.0000 0.0000
Cr1 Cr 0.5000 0.5000 0.5000
Se1 Se 0.0000 0.5000 0.5000
```

## Properties
Magnetic moment: 0.79 μB per atom
Crystal system: cubic

<R>
Below is an optimized crystal structure of ZrCrSe3, with properties calculated at the PBE-GGA level.

```
data_ZrCrSe3
_chemical_formula_sum 'Zr1 Cr1 Se3'
_cell_length_a 5.1861
_cell_length_b 5.1861
_cell_length_c 5.1861
_cell_angle_alpha 90.00
_cell_angle_beta 90.00
_cell_angle_gamma 90.00
_space_group_name_H-M_alt 'P m -3 m'
_space_group_IT_number 221
_space_group_name_Hall '-P 4 2 3'
loop_
_atom_site_label
_atom_site_type_symbol
_atom_site_fract_x
_atom_site_fract_y
_atom_site_fract_z
Zr1 Zr 0.0000 0.0000 0.0000
Cr1 Cr 0.5000 0.5000 0.5000
Se1 Se 0.0000 0.0000 0.5000
```

## Properties
Magnetic moment: 0.82 μB per atom
Crystal system: cubic

<S>
Below is an optimized crystal structure of ZrCrSe3, with properties calculated at the PBE-GGA level.

```
data_ZrCrSe3
_chemical_formula_sum 'Zr6 Cr6 Se18'
_cell_length_a 6.5446
_cell_length_b 6.5446
_cell_length_c 18.2766
_cell_angle_alpha 90.00
_cell_angle_beta 90.00
_cell_angle_gamma 120.00
_space_group_name_H-M_alt 'R -3'
_space_group_IT_number 148
_space_group_name_Hall '-R 3'
loop_
_atom_site_label
_atom_site_type_symbol
_atom_site_fract_x
_atom_site_fract_y
_atom_site_fract_z
Zr1 Zr 0.0000 0.0000 0.1609
Cr1 Cr 0.0000 0.0000 0.3379
Se1 Se 0.0065 0.3486 0.9210
```

## Properties
Magnetic moment: 0.77 μB per atom
Crystal system: trigonal

Which of them is the most stable, and which is the least stable? <S> and <Q>, in that order.

<P>
Below is an optimized crystal structure of Cr5Si3, with properties calculated at the PBE-GGA level.

```
data_Cr5Si3
_chemical_formula_sum 'Cr20 Si12'
_cell_length_a 9.0726
_cell_length_b 9.0726
_cell_length_c 4.5823
_cell_angle_alpha 90.00
_cell_angle_beta 90.00
_cell_angle_gamma 90.00
_space_group_name_H-M_alt 'I 4/m c m'
_space_group_IT_number 140
_space_group_name_Hall '-I 4 2c'
loop_
_atom_site_label
_atom_site_type_symbol
_atom_site_fract_x
_atom_site_fract_y
_atom_site_fract_z
Cr1 Cr 0.0000 0.5000 0.2500
Cr2 Cr 0.0764 0.2284 0.0000
Si1 Si 0.0000 0.0000 0.2500
Si2 Si 0.1672 0.3328 0.5000
```

## Properties
Magnetic moment: 0.00 μB per atom
Crystal system: tetragonal

<Q>
Below is an optimized crystal structure of Cr5Si3, with properties calculated at the PBE-GGA level.

```
data_Cr5Si3
_chemical_formula_sum 'Cr10 Si6'
_cell_length_a 5.5517
_cell_length_b 8.2212
_cell_length_c 4.1692
_cell_angle_alpha 90.00
_cell_angle_beta 90.00
_cell_angle_gamma 90.00
_space_group_name_H-M_alt 'C m m m'
_space_group_IT_number 65
_space_group_name_Hall '-C 2 2'
loop_
_atom_site_label
_atom_site_type_symbol
_atom_site_fract_x
_atom_site_fract_y
_atom_site_fract_z
Cr1 Cr 0.0000 0.0000 0.0000
Cr2 Cr 0.2094 0.5000 0.5000
Cr3 Cr 0.2500 0.2500 0.0000
Si1 Si 0.0000 0.2245 0.5000
Si2 Si 0.0000 0.5000 0.0000
```

## Properties
Magnetic moment: 0.28 μB per atom
Crystal system: orthorhombic

Which of them is the most stable, and which is the least stable? <P> and <Q>, in that order.